Compound: InAs2Os
Source: the Alexandria database
Functional: GGA-PBE
Structure: optimized geometry

Cell: 4.6723 4.6723 4.6723 Å, 60.00 60.00 60.00°
Closest atoms and distances in Å follow each position.
Positions (direct):
As1 0.0000 0.0000 0.0000  4 Os 2.86, 4 As 2.86
In1 0.5000 0.5000 0.5000  4 As 2.86, 4 Os 2.86
As2 0.2500 0.2500 0.2500  4 In 2.86, 4 As 2.86
Os1 0.7500 0.7500 0.7500  4 As 2.86, 4 In 2.86

Computed properties:
The value obtained for the spin magnetization is 0.0 μB/f.u. The value obtained for the density of states at the Fermi level is 1.80 states/eV/f.u. Its energy of formation from the pure elements is 0.703 eV/atom.